! MgBeCo4, optimized geometry, DFT GGA-PBE; values from VASP
! - ΔE_f (eV per atom) = 0.155
! - Fermi-level density of states (states/eV/f.u.) = 5.19
! - SG = F-43m (216)
&SYSTEM
  ibrav = 0, nat = 6, ntyp = 3
/
ATOMIC_SPECIES
Mg 24.30 Mg.upf
Be 9.01 Be.upf
Co 58.93 Co.upf
CELL_PARAMETERS angstrom
0.000 3.326 3.326
3.326 0.000 3.326
3.326 3.326 0.000
ATOMIC_POSITIONS angstrom
Mg 0.000 0.000 0.000
Be 4.990 4.990 4.990
Co 2.498 2.498 2.498
Co 4.155 4.155 2.498
Co 4.155 2.498 4.155
Co 2.498 4.155 4.155

! MgBe2Co, optimized geometry, DFT GGA-PBE; values from VASP
! - ΔE_f (eV per atom) = 0.181
! - Fermi-level density of states (states/eV/f.u.) = 2.47
! - SG = F-43m (216)
&SYSTEM
  ibrav = 0, nat = 4, ntyp = 3
/
ATOMIC_SPECIES
Mg 24.30 Mg.upf
Be 9.01 Be.upf
Co 58.93 Co.upf
CELL_PARAMETERS angstrom
0.000 2.805 2.805
2.805 0.000 2.805
2.805 2.805 0.000
ATOMIC_POSITIONS angstrom
Mg 0.000 0.000 0.000
Be 2.805 2.805 2.805
Be 4.207 4.207 4.207
Co 1.402 1.402 1.402

! MgBe2Co, optimized geometry, DFT GGA-PBE; values from VASP
! - ΔE_f (eV per atom) = 0.053
! - Fermi-level density of states (states/eV/f.u.) = 1.55
! - SG = P4mm (99)
&SYSTEM
  ibrav = 0, nat = 4, ntyp = 3
/
ATOMIC_SPECIES
Mg 24.30 Mg.upf
Be 9.01 Be.upf
Co 58.93 Co.upf
CELL_PARAMETERS angstrom
2.762 0.000 0.000
0.000 2.762 0.000
0.000 0.000 5.961
ATOMIC_POSITIONS angstrom
Mg 0.000 0.000 0.000
Be 0.000 0.000 3.124
Be 1.381 1.381 1.969
Co 1.381 1.381 4.160

! MgBe3Co, optimized geometry, DFT GGA-PBE; values from VASP
! - ΔE_f (eV per atom) = 1.798
! - Fermi-level density of states (states/eV/f.u.) = 4.22
! - SG = Pm-3m (221)
&SYSTEM
  ibrav = 0, nat = 5, ntyp = 3
/
ATOMIC_SPECIES
Mg 24.30 Mg.upf
Be 9.01 Be.upf
Co 58.93 Co.upf
CELL_PARAMETERS angstrom
4.164 0.000 0.000
0.000 4.164 0.000
0.000 0.000 4.164
ATOMIC_POSITIONS angstrom
Mg 0.000 0.000 0.000
Be 0.000 0.000 2.082
Be 0.000 2.082 0.000
Be 2.082 0.000 0.000
Co 2.082 2.082 2.082

! Mg2BeCo, optimized geometry, DFT GGA-PBE; values from VASP
! - ΔE_f (eV per atom) = 0.581
! - Fermi-level density of states (states/eV/f.u.) = 3.13
! - SG = I-42d (122)
&SYSTEM
  ibrav = 0, nat = 8, ntyp = 3
/
ATOMIC_SPECIES
Mg 24.30 Mg.upf
Be 9.01 Be.upf
Co 58.93 Co.upf
CELL_PARAMETERS angstrom
-3.431 3.431 2.572
3.431 -3.431 2.572
3.431 3.431 -2.572
ATOMIC_POSITIONS angstrom
Mg 5.146 1.674 -0.643
Mg 1.674 1.715 0.643
Mg -1.715 1.756 1.929
Mg 1.756 1.715 3.215
Be 0.000 0.000 0.000
Be 0.000 3.431 1.286
Co 3.431 0.000 1.286
Co 0.000 0.000 2.572

! MgBe2Co, optimized geometry, DFT GGA-PBE; values from VASP
! - ΔE_f (eV per atom) = 0.088
! - Fermi-level density of states (states/eV/f.u.) = 1.23
! - SG = Imm2 (44)
&SYSTEM
  ibrav = 0, nat = 4, ntyp = 3
/
ATOMIC_SPECIES
Mg 24.30 Mg.upf
Be 9.01 Be.upf
Co 58.93 Co.upf
CELL_PARAMETERS angstrom
-1.408 1.967 3.931
1.408 -1.967 3.931
1.408 1.967 -3.931
ATOMIC_POSITIONS angstrom
Mg 0.000 0.000 0.000
Be 0.000 0.000 3.914
Be 0.000 1.967 1.773
Co 1.408 0.000 2.145

! Mg4BeCo, optimized geometry, DFT GGA-PBE; values from VASP
! - ΔE_f (eV per atom) = 0.708
! - Fermi-level density of states (states/eV/f.u.) = 7.81
! - SG = F-43m (216)
&SYSTEM
  ibrav = 0, nat = 6, ntyp = 3
/
ATOMIC_SPECIES
Mg 24.30 Mg.upf
Be 9.01 Be.upf
Co 58.93 Co.upf
CELL_PARAMETERS angstrom
0.000 3.828 3.828
3.828 0.000 3.828
3.828 3.828 0.000
ATOMIC_POSITIONS angstrom
Mg 0.959 0.959 0.959
Mg 2.869 2.869 0.959
Mg 2.869 0.959 2.869
Mg 0.959 2.869 2.869
Be 5.742 5.742 5.742
Co 3.828 3.828 3.828

! Mg3BeCo, optimized geometry, DFT GGA-PBE; values from VASP
! - ΔE_f (eV per atom) = 0.743
! - Fermi-level density of states (states/eV/f.u.) = 2.96
! - SG = Pm-3m (221)
&SYSTEM
  ibrav = 0, nat = 5, ntyp = 3
/
ATOMIC_SPECIES
Mg 24.30 Mg.upf
Be 9.01 Be.upf
Co 58.93 Co.upf
CELL_PARAMETERS angstrom
4.718 0.000 0.000
0.000 4.718 0.000
0.000 0.000 4.718
ATOMIC_POSITIONS angstrom
Mg 0.000 0.000 2.359
Mg 0.000 2.359 0.000
Mg 2.359 0.000 0.000
Be 2.359 2.359 2.359
Co 0.000 0.000 0.000